Material: La2FeGe4Os
Method: DFT, PBE
State: relaxed

Computed properties:
The crystal system is monoclinic. The energy comes out at -51.93 eV per formula unit. As for the space group: Pm (6).

Structure (POSCAR):
```
La2FeGe4Os
1.0
4.356 0.000 0.000
0.000 4.364 0.000
-2.161 0.000 8.607
La Os Ge Fe
2 1 4 1
Cartesian
0.011 0.000 1.873 La
2.182 2.182 6.707 La
2.174 2.182 3.088 Os
-0.001 2.182 4.394 Ge
2.196 0.000 4.377 Ge
2.200 2.182 0.678 Ge
-0.001 0.000 7.818 Ge
0.019 0.000 5.492 Fe
```